[1]
First-principles (GGA-PBE) data for a relaxed SrAcPr crystal, as listed in Alexandria. Values from VASP.

Quantum ESPRESSO input file:
```
&SYSTEM
  ibrav = 0, nat = 6, ntyp = 3
/
ATOMIC_SPECIES
Sr 87.62 Sr.upf
Ac 227.00 Ac.upf
Pr 140.91 Pr.upf
ATOMIC_POSITIONS crystal
Sr 0.3333 0.6667 0.0009
Sr 0.6667 0.3333 0.9991
Ac 0.0000 0.0000 0.2684
Ac 0.0000 0.0000 0.7316
Pr 0.3333 0.6667 0.5005
Pr 0.6667 0.3333 0.4995
CELL_PARAMETERS angstrom
6.2183 0.0000 0.0000
-3.1092 5.3852 0.0000
0.0000 0.0000 7.7563
```

Computed properties:
Density of states at the Fermi level, states/eV/f.u.: 4.3
Space group: P-3m1 (164)
Excess energy over the best structure of this formula in the dataset, eV/atom: 0.0294
Energy relative to the elements, eV per atom: 0.083
DFT total energy, eV per atom: -3.440



[2]
First-principles (GGA-PBE) data for a relaxed Sr2AcPr crystal, as listed in Alexandria. Values from VASP.

Quantum ESPRESSO input file:
```
&SYSTEM
  ibrav = 0, nat = 12, ntyp = 3
/
ATOMIC_SPECIES
Sr 87.62 Sr.upf
Ac 227.00 Ac.upf
Pr 140.91 Pr.upf
ATOMIC_POSITIONS crystal
Sr 0.0000 0.0000 0.0866
Sr 0.0000 0.0000 0.9134
Sr 0.3333 0.6667 0.5800
Sr 0.3333 0.6667 0.7533
Sr 0.6667 0.3333 0.2467
Sr 0.6667 0.3333 0.4200
Ac 0.0000 0.0000 0.5000
Ac 0.3333 0.6667 0.1667
Ac 0.6667 0.3333 0.8333
Pr 0.0000 0.0000 0.0000
Pr 0.3333 0.6667 0.6667
Pr 0.6667 0.3333 0.3333
CELL_PARAMETERS angstrom
3.8849 0.0000 0.0000
-1.9424 3.3644 0.0000
0.0000 0.0000 42.4701
```

Computed properties:
Density of states at the Fermi level, states/eV/f.u.: 6.7
Space group: R-3m (166)
Excess energy over the best structure of this formula in the dataset, eV/atom: 0.1834
Energy relative to the elements, eV per atom: 0.250
DFT total energy, eV per atom: -2.813